Material: Pu2PaI6
Method: DFT, PBE
State: relaxed

a b c (Å): 20.1014 4.1366 9.5510
angles (deg): 90.00 113.51 90.00
Closest atoms and distances in Å follow each position.
Space group C2/m (No. 12)
Asymmetric unit:
Pu: 0.1581 0.0000 0.3130 [4 per cell]  6 I 3.14-3.20
Pa: 0.0000 0.5000 0.0000 [2 per cell]  6 I 3.18
I: 0.0081 0.0000 0.7537 [4 per cell]  1 Pu 3.14, 2 Pa 3.18
I: 0.1688 0.5000 0.0745 [4 per cell]  2 Pu 3.15, 1 Pa 3.18
I: 0.1692 0.5000 0.5728 [4 per cell]  3 Pu 3.17-3.20

Fermi-level density of states (states/eV/cell): 35.32
Calculated total energy (eV per atom): -6.21

Material: PuPaI5
Method: DFT, PBE
State: relaxed

a b c (Å): 9.4135 4.1846 15.0695
angles (deg): 90.00 96.98 90.00
Closest atoms and distances in Å follow each position.
Space group P2_1/m (No. 11)
Asymmetric unit:
Pu: 0.1054 0.2500 0.1439 [2 per cell]  7 I 3.19-3.28
Pa: 0.4151 0.7500 0.3412 [2 per cell]  7 I 3.13-3.40
I: 0.0757 0.7500 0.3043 [2 per cell]  1 Pa 3.18, 2 Pu 3.23
I: 0.1409 0.2500 0.9300 [2 per cell]  3 Pu 3.22-3.28
I: 0.3206 0.2500 0.4838 [2 per cell]  3 Pa 3.20-3.40
I: 0.3578 0.7500 0.1296 [2 per cell]  1 Pa 3.17, 2 Pu 3.19
I: 0.3591 0.7500 0.7077 [2 per cell]  2 Pa 3.13

Fermi-level density of states (states/eV/cell): 29.27
Calculated total energy (eV per atom): -5.47

Material: RbPaI6
Method: DFT, PBE
State: relaxed

a b c (Å): 8.3417 8.3417 22.7834
angles (deg): 90.00 90.00 120.00
Closest atoms and distances in Å follow each position.
Space group R-3m (No. 166, hexagonal axes)
Asymmetric unit:
Rb: 0.0000 0.0000 0.0000 [3 per cell]  12 I 4.66
Pa: 0.0000 0.0000 0.5000 [3 per cell]  6 I 2.95
I: 0.0005 0.5003 0.0914 [18 per cell]  1 Pa 2.95

Distance to the lowest polymorph of the same formula (eV/atom): 0.035
Calculated total energy (eV per atom): -3.53

Material: RbPa2I11
Method: DFT, PBE
State: relaxed

a b c (Å): 14.3011 14.3623 16.2105
angles (deg): 90.00 90.00 90.00
Closest atoms and distances in Å follow each position.
Space group Ibam (No. 72)
Asymmetric unit:
Rb: 0.0000 0.0000 0.2500 [4 per cell]  8 I 4.10
Pa: 0.1533 0.3443 0.0000 [8 per cell]  6 I 2.86-3.13
I: 0.0000 0.5000 0.0000 [4 per cell]  2 Pa 3.13
I: 0.0468 0.2455 0.1281 [16 per cell]  1 Pa 2.94
I: 0.2066 0.2977 0.5000 [8 per cell]  1 Pa 2.86
I: 0.2462 0.0512 0.3717 [16 per cell]  1 Pa 2.94

Calculated total energy (eV per atom): -3.63

Material: Rb6PaI12
Method: DFT, PBE
State: relaxed

a b c (Å): 15.2268 15.2268 17.4829
angles (deg): 90.00 90.00 120.00
Closest atoms and distances in Å follow each position.
Space group R-3 (No. 148, hexagonal axes)
Asymmetric unit:
Rb: 0.0483 0.2671 0.1118 [18 per cell]  5 I 3.61-4.03
Pa: 0.0000 0.0000 0.5000 [3 per cell]  6 I 2.96
I: 0.0427 0.2480 0.9035 [18 per cell]  4 Rb 3.61-3.67
I: 0.0792 0.1829 0.4023 [18 per cell]  1 Pa 2.96

Fermi-level density of states (states/eV/cell): 37.41
Calculated total energy (eV per atom): -2.96

Material: RbPaI2
Method: DFT, PBE
State: relaxed

a b c (Å): 3.9734 3.9734 35.9286
angles (deg): 90.00 90.00 120.00
Closest atoms and distances in Å follow each position.
Space group R-3m (No. 166, hexagonal axes)
Asymmetric unit:
Rb: 0.0000 0.0000 0.0000 [3 per cell]  2 I 3.78, 6 Rb 3.97
Pa: 0.0000 0.0000 0.5000 [3 per cell]  6 I 3.18
I: 0.0000 0.0000 0.1053 [6 per cell]  3 Pa 3.18

Fermi-level density of states (states/eV/cell): 15.06
Distance to the lowest polymorph of the same formula (eV/atom): 0.000
Calculated total energy (eV per atom): -3.88

What are the density values for these records? In order: 6.751, 6.254, 3.911, 3.877, 3.217, 5.783 Mg/m³.
What are the ΔE_f (raw) values for these records? In order: -0.932, -0.958, -1.056, -0.984, -1.178, -0.492 eV/atom.
What are the total magnetization values for these records? In order: 1.67, 1.14, 0.00, 0.00, 0.06, 0.36 μB per atom.